# 1
The following is a PBE calculation of Ho3TmTh3 after structural relaxation, from the Alexandria database.

Cell: 8.746 8.746 8.746 Å, 60.05 60.05 60.05°
Positions (direct):
Ho1 0.734 0.561 0.064
Ho2 0.064 0.734 0.561
Ho3 0.561 0.064 0.734
Ho4 0.439 0.936 0.266
Ho5 0.936 0.266 0.439
Ho6 0.266 0.439 0.936
Tm1 0.352 0.352 0.352
Tm2 0.648 0.648 0.648
Th1 0.704 0.196 0.938
Th2 0.196 0.938 0.704
Th3 0.938 0.704 0.196
Th4 0.062 0.296 0.804
Th5 0.804 0.062 0.296
Th6 0.296 0.804 0.062

Calculated values
Space group   R-3, No. 148
Crystal system   trigonal
Energy of formation   314 meV/atom
Offset from the most stable computed form   274 meV per atom
Magnetic moment   0.0 Bohr magnetons per cell
Uncorrected energy   -5.47 eV/atom


# 2
The following is a PBE calculation of Ho2Tm2Th7 after structural relaxation, from the Alexandria database.

Cell: 6.191 7.959 7.959 Å, 91.80 73.63 73.63°
Positions (direct):
Ho1 0.000 0.210 0.790
Ho2 0.000 0.790 0.210
Tm1 0.943 0.235 0.235
Tm2 0.057 0.765 0.765
Th1 0.675 0.079 0.586
Th2 0.325 0.414 0.921
Th3 0.325 0.921 0.414
Th4 0.675 0.586 0.079
Th5 0.500 0.000 0.000
Th6 0.316 0.410 0.410
Th7 0.684 0.590 0.590

Calculated values
Space group   C2/m, No. 12
Crystal system   monoclinic
Energy of formation   198 meV/atom
Magnetic moment   0.0 Bohr magnetons per cell
Uncorrected energy   -6.17 eV/atom


# 3
The following is a PBE calculation of Ho5Tm4Th after structural relaxation, from the Alexandria database.

Cell: 5.339 10.378 6.374 Å, 82.98 114.76 90.00°
Positions (direct):
Ho1 0.180 0.051 0.359
Ho2 0.232 0.396 0.465
Ho3 0.768 0.604 0.535
Ho4 0.500 0.500 0.000
Ho5 0.820 0.949 0.641
Tm1 0.656 0.238 0.312
Tm2 0.058 0.729 0.115
Tm3 0.344 0.762 0.688
Tm4 0.942 0.271 0.885
Th1 0.500 0.000 0.000

Calculated values
Space group   C2/m, No. 12
Crystal system   monoclinic
Energy of formation   186 meV/atom
Offset from the most stable computed form   0 meV per atom
Magnetic moment   0.0 Bohr magnetons per cell
Uncorrected energy   -4.63 eV/atom


# 4
The following is a PBE calculation of Ho4Tm7Th after structural relaxation, from the Alexandria database.

Cell: 5.844 11.358 6.678 Å, 83.65 64.05 75.09°
Positions (direct):
Ho1 0.636 0.225 0.502
Ho2 0.364 0.775 0.498
Ho3 0.755 0.680 0.810
Ho4 0.245 0.320 0.190
Tm1 0.786 0.923 0.505
Tm2 0.214 0.077 0.495
Tm3 0.060 0.676 0.203
Tm4 0.940 0.324 0.797
Tm5 0.366 0.501 0.767
Tm6 0.500 0.000 0.000
Tm7 0.634 0.499 0.233
Th1 0.000 0.000 0.000

Calculated values
Space group   C2/m, No. 12
Crystal system   monoclinic
Energy of formation   324 meV/atom
Offset from the most stable computed form   241 meV per atom
Magnetic moment   0.0 Bohr magnetons per cell
Uncorrected energy   -4.43 eV/atom